Na2SbAuF6 PBE-GGA relaxed; formation energy (no corrections) = -1.8722 eV/atom; V = 19.6 A^3/atom
1.0
0.0000 4.6087 4.6087
4.6087 0.0000 4.6087
4.6087 4.6087 0.0000
F Sb Na Au
6 1 2 1
direct
0.2343 0.7657 0.2343
0.2343 0.7657 0.7657
0.7657 0.2343 0.7657
0.7657 0.2343 0.2343
0.7657 0.7657 0.2343
0.2343 0.2343 0.7657
0.0000 0.0000 0.0000
0.7500 0.7500 0.7500
0.2500 0.2500 0.2500
0.5000 0.5000 0.5000